Record 1
Compound: Li3HgO4
Source: the Open Quantum Materials Database
Functional: PBE-GGA
Structure: optimized geometry

CIF file:
```
data_Li3HgO4
_chemical_formula_sum 'Li6 Hg2 O8'
_space_group_name_H-M_alt 'C 1 2/m 1'
_space_group_IT_number 12
_cell_length_a 9.7908
_cell_length_b 3.1691
_cell_length_c 5.1270
_cell_angle_alpha 90.00
_cell_angle_beta 101.16
_cell_angle_gamma 90.00
loop_
_space_group_symop_operation_xyz
'x,y,z'
'-x,-y,-z'
'-x,y,-z'
'x,-y,z'
'x+1/2,y+1/2,z'
'-x+1/2,-y+1/2,-z'
'-x+1/2,y+1/2,-z'
'x+1/2,-y+1/2,z'
loop_
_atom_site_label
_atom_site_type_symbol
_atom_site_fract_x
_atom_site_fract_y
_atom_site_fract_z
Li1 Li 0.0000 0.0000 0.0000
Li2 Li 0.2449 0.0000 0.7727
Hg1 Hg 0.0000 0.5000 0.5000
O1 O 0.1243 0.5000 0.8670
O2 O 0.1306 0.0000 0.3751
```

Properties
Distance to the lowest polymorph of the same formula, eV/atom: 0.010
Theoretical density, kg/m3: 6073

Record 2
Compound: LiHgO4
Source: the Open Quantum Materials Database
Functional: PBE-GGA
Structure: optimized geometry

CIF file:
```
data_LiHgO4
_chemical_formula_sum 'Li4 Hg4 O16'
_space_group_name_H-M_alt 'P 1 2/c 1'
_space_group_IT_number 13
_cell_length_a 9.2378
_cell_length_b 3.4754
_cell_length_c 9.1431
_cell_angle_alpha 90.00
_cell_angle_beta 91.24
_cell_angle_gamma 90.00
loop_
_space_group_symop_operation_xyz
'x,y,z'
'-x,-y,-z'
'-x,y,-z+1/2'
'x,-y,z+1/2'
loop_
_atom_site_label
_atom_site_type_symbol
_atom_site_fract_x
_atom_site_fract_y
_atom_site_fract_z
Li1 Li 0.2501 0.0000 0.0011
Hg1 Hg 0.0000 0.4852 0.2500
Hg2 Hg 0.5000 0.4853 0.2500
O1 O 0.0900 0.0139 0.6521
O2 O 0.1781 0.5000 0.4875
O3 O 0.3217 0.5000 0.0116
O4 O 0.4099 0.0137 0.8478
```

Properties
Distance to the lowest polymorph of the same formula, eV/atom: 0.255
Theoretical density, kg/m3: 6146

Record 3
Compound: LiHgO4
Source: the Open Quantum Materials Database
Functional: PBE-GGA
Structure: optimized geometry

CIF file:
```
data_LiHgO4
_chemical_formula_sum 'Li1 Hg1 O4'
_space_group_name_H-M_alt 'P 1'
_space_group_IT_number 1
_cell_length_a 3.3923
_cell_length_b 4.6160
_cell_length_c 4.6413
_cell_angle_alpha 91.76
_cell_angle_beta 90.11
_cell_angle_gamma 90.08
loop_
_space_group_symop_operation_xyz
'x,y,z'
loop_
_atom_site_label
_atom_site_type_symbol
_atom_site_fract_x
_atom_site_fract_y
_atom_site_fract_z
Li1 Li 0.0000 0.0000 0.0000
Hg1 Hg 0.4951 0.5001 0.4997
O1 O 0.5000 0.1007 0.8974
O2 O 0.5002 0.8992 0.1020
O3 O 0.9945 0.3086 0.3100
O4 O 0.9963 0.6919 0.6891
```

Properties
Distance to the lowest polymorph of the same formula, eV/atom: 0.305
Theoretical density, kg/m3: 6207

Record 4
Compound: Li2Hg2O5
Source: the Open Quantum Materials Database
Functional: PBE-GGA
Structure: optimized geometry

CIF file:
```
data_Li2Hg2O5
_chemical_formula_sum 'Li2 Hg2 O5'
_space_group_name_H-M_alt 'P 4/m m m'
_space_group_IT_number 123
_space_group_name_Hall '-P 4 2'
_cell_length_a 4.0473
_cell_length_b 4.0473
_cell_length_c 7.5960
_cell_angle_alpha 90.00
_cell_angle_beta 90.00
_cell_angle_gamma 90.00
loop_
_atom_site_label
_atom_site_type_symbol
_atom_site_fract_x
_atom_site_fract_y
_atom_site_fract_z
Li1 Li 0.0000 0.0000 0.0000
Li2 Li 0.0000 0.0000 0.5000
Hg1 Hg 0.5000 0.5000 0.2187
O1 O 0.0000 0.5000 0.1444
O2 O 0.5000 0.5000 0.5000
```

Properties
Distance to the lowest polymorph of the same formula, eV/atom: 0.098
Theoretical density, kg/m3: 6607

Record 5
Compound: Li4Hg2O5
Source: the Open Quantum Materials Database
Functional: PBE-GGA
Structure: optimized geometry

CIF file:
```
data_Li4Hg2O5
_chemical_formula_sum 'Li8 Hg4 O10'
_space_group_name_H-M_alt 'C m m m'
_space_group_IT_number 65
_space_group_name_Hall '-C 2 2'
_cell_length_a 4.4937
_cell_length_b 13.1640
_cell_length_c 4.3810
_cell_angle_alpha 90.00
_cell_angle_beta 90.00
_cell_angle_gamma 90.00
loop_
_atom_site_label
_atom_site_type_symbol
_atom_site_fract_x
_atom_site_fract_y
_atom_site_fract_z
Li1 Li 0.0000 0.0000 0.0000
Li2 Li 0.0000 0.1855 0.5000
Li3 Li 0.0000 0.5000 0.5000
Hg1 Hg 0.0000 0.3353 0.0000
O1 O 0.0000 0.1542 0.0000
O2 O 0.0000 0.3427 0.5000
O3 O 0.0000 0.5000 0.0000
```

Properties
Theoretical density, kg/m3: 6522
DFT total energy, eV per atom: -3.969

Record 6
Compound: Li2HgO3
Source: the Open Quantum Materials Database
Functional: PBE-GGA
Structure: optimized geometry

CIF file:
```
data_Li2HgO3
_chemical_formula_sum 'Li8 Hg4 O12'
_space_group_name_H-M_alt 'C 1 2/m 1'
_space_group_IT_number 12
_cell_length_a 5.3565
_cell_length_b 9.5119
_cell_length_c 5.1912
_cell_angle_alpha 90.00
_cell_angle_beta 109.02
_cell_angle_gamma 90.00
loop_
_space_group_symop_operation_xyz
'x,y,z'
'-x,-y,-z'
'-x,y,-z'
'x,-y,z'
'x+1/2,y+1/2,z'
'-x+1/2,-y+1/2,-z'
'-x+1/2,y+1/2,-z'
'x+1/2,-y+1/2,z'
loop_
_atom_site_label
_atom_site_type_symbol
_atom_site_fract_x
_atom_site_fract_y
_atom_site_fract_z
Li1 Li 0.0000 0.0000 0.0000
Li2 Li 0.0000 0.1673 0.5000
Li3 Li 0.0000 0.5000 0.5000
Hg1 Hg 0.0000 0.3391 0.0000
O1 O 0.2214 0.0000 0.7187
O2 O 0.2297 0.3378 0.7473
```

Properties
Theoretical density, kg/m3: 6972
DFT total energy, eV per atom: -3.977

Record 7
Compound: Li8Hg4O11
Source: the Open Quantum Materials Database
Functional: PBE-GGA
Structure: optimized geometry

CIF file:
```
data_Li8Hg4O11
_chemical_formula_sum 'Li8 Hg4 O11'
_space_group_name_H-M_alt 'P 1'
_space_group_IT_number 1
_cell_length_a 5.2177
_cell_length_b 5.6525
_cell_length_c 9.0712
_cell_angle_alpha 86.15
_cell_angle_beta 73.62
_cell_angle_gamma 84.86
loop_
_space_group_symop_operation_xyz
'x,y,z'
loop_
_atom_site_label
_atom_site_type_symbol
_atom_site_fract_x
_atom_site_fract_y
_atom_site_fract_z
Li1 Li 0.0000 0.0000 0.0000
Li2 Li 0.0390 0.2864 0.4084
Li3 Li 0.2081 0.7776 0.2195
Li4 Li 0.3516 0.3075 0.0820
Li5 Li 0.4152 0.5577 0.4633
Li6 Li 0.5825 0.8307 0.9262
Li7 Li 0.7249 0.2685 0.7792
Li8 Li 0.9203 0.7486 0.5321
Hg1 Hg 0.1450 0.5400 0.8120
Hg2 Hg 0.2995 0.0279 0.6675
Hg3 Hg 0.6277 0.0297 0.3213
Hg4 Hg 0.7593 0.5317 0.1579
O1 O 0.0107 0.0975 0.2077
O2 O 0.0876 0.4496 0.6072
O3 O 0.1372 0.6325 0.0357
O4 O 0.2527 0.9283 0.4580
O5 O 0.3707 0.1108 0.8672
O6 O 0.3766 0.4613 0.2748
O7 O 0.5536 0.9827 0.1176
O8 O 0.6752 0.4885 0.9522
O9 O 0.6919 0.0669 0.5369
O10 O 0.8138 0.5835 0.3708
O11 O 0.9215 0.9735 0.7937
```

Properties
Theoretical density, kg/m3: 6722
DFT total energy, eV per atom: -4.017

Record 8
Compound: Li3HgO4
Source: the Open Quantum Materials Database
Functional: PBE-GGA
Structure: optimized geometry

CIF file:
```
data_Li3HgO4
_chemical_formula_sum 'Li6 Hg2 O8'
_space_group_name_H-M_alt 'P 1 2/c 1'
_space_group_IT_number 13
_cell_length_a 5.2196
_cell_length_b 5.9751
_cell_length_c 5.4204
_cell_angle_alpha 90.00
_cell_angle_beta 112.14
_cell_angle_gamma 90.00
loop_
_space_group_symop_operation_xyz
'x,y,z'
'-x,-y,-z'
'-x,y,-z+1/2'
'x,-y,z+1/2'
loop_
_atom_site_label
_atom_site_type_symbol
_atom_site_fract_x
_atom_site_fract_y
_atom_site_fract_z
Li1 Li 0.0000 0.1024 0.2500
Li2 Li 0.0000 0.3560 0.7500
Li3 Li 0.5000 0.1219 0.7500
Hg1 Hg 0.5000 0.3584 0.2500
O1 O 0.2424 0.1196 0.0191
O2 O 0.2439 0.3920 0.5206
```

Properties
Distance to the lowest polymorph of the same formula, eV/atom: 0.000
Theoretical density, kg/m3: 6053

Number 3 is which compound?
LiHgO4

Which of these has the lowest theoretical density?
number 8

Among the records above, which one has the highest theoretical density?
Li2HgO3